(1)
Entry from Alexandria: Tb2SmHo5Er after structural relaxation (PBE).

Cell: 8.8488 8.8488 14.7509 Å, 90.00 90.00 90.00°
Space group I4/mcm (No. 140)
Asymmetric unit:
Tb: 0.1135 0.3865 0.0000 x8
Sm: 0.0000 0.0000 0.2500 x4
Ho: 0.0000 0.0000 0.0000 x4
Ho: 0.2063 0.2937 0.3663 x16
Er: 0.0000 0.5000 0.2500 x4

Output
- E_tot (eV/atom) = -4.310
- total magnetic moment (μB per atom) = 0.000
- DFT formation energy (eV/atom) = 0.2937
- DOS(E_F) (states/eV/cell) = 45.9

=====

(2)
Entry from Alexandria: Ac2ZnGeN after structural relaxation (PBE).

Cell: 6.9381 4.1806 8.8573 Å, 90.00 108.50 90.00°
Space group P2_1/m (No. 11)
Asymmetric unit:
Ac: 0.1973 0.2500 0.3850 x2
Ac: 0.2132 0.2500 0.9637 x2
Zn: 0.4688 0.7500 0.2524 x2
Ge: 0.3200 0.7500 0.7009 x2
N: 0.1622 0.7500 0.1688 x2

Output
- E_tot (eV/atom) = -5.237
- total magnetic moment (μB per atom) = 0.000
- formation energy without anion corrections (eV/atom) = -0.75
- DOS(E_F) (states/eV/cell) = 5.1

=====

(3)
Entry from Alexandria: LaCdW2Br after structural relaxation (PBE).

Cell: 5.0704 5.0704 5.7465 Å, 90.00 90.00 90.00°
Space group P4/mmm (No. 123)
Asymmetric unit:
La: 0.0000 0.0000 0.0000 x1
Cd: 0.5000 0.5000 0.5000 x1
W: 0.0000 0.5000 0.0000 x2
Br: 0.0000 0.0000 0.5000 x1

Output
- E_tot (eV/atom) = -4.587
- total magnetic moment (μB per atom) = 0.530
- formation energy without anion corrections (eV/atom) = 2.10
- DOS(E_F) (states/eV/cell) = 5.1
- polymorph energy (0 for the lowest one) (kJ/mol of atoms) = 61.24

=====

(4)
Entry from Alexandria: SmOsO4 after structural relaxation (PBE).

Cell: 7.7557 5.4434 7.5164 Å, 90.00 100.67 90.00°
Space group P2_1/c (No. 14)
Asymmetric unit:
Sm: 0.1489 0.2144 0.3966 x4
Os: 0.3402 0.7299 0.2044 x4
O: 0.1166 0.5226 0.1761 x4
O: 0.1835 0.0055 0.1249 x4
O: 0.3325 0.6399 0.9490 x4
O: 0.4552 0.0714 0.7964 x4

Output
- E_tot (eV/atom) = -7.987
- total magnetic moment (μB per atom) = 0.000
- formation energy without anion corrections (eV/atom) = -2.02
- DOS(E_F) (states/eV/cell) = 11.2
- polymorph energy (0 for the lowest one) (kJ/mol of atoms) = 0.00

=====

(5)
Entry from Alexandria: SrAs4Se after structural relaxation (PBE).

Cell: 8.4543 8.4543 8.4543 Å, 90.00 90.00 90.00°
Space group F-43m (No. 216)
Asymmetric unit:
Sr: 0.0000 0.0000 0.0000 x4
As: 0.1048 0.1048 0.6048 x16
Se: 0.2500 0.2500 0.2500 x4

Output
- E_tot (eV/atom) = -4.209
- total magnetic moment (μB per atom) = 0.000
- formation energy without anion corrections (eV/atom) = -0.25
- DOS(E_F) (states/eV/cell) = 2.8

=====

(6)
Entry from Alexandria: Dy2NpMn2C4 after structural relaxation (PBE).

Cell: 12.6988 3.3329 5.9965 Å, 90.00 109.96 90.00°
Space group C2/m (No. 12)
Asymmetric unit:
Dy: 0.1376 0.0000 0.0461 x4
Np: 0.0000 0.0000 0.5000 x2
Mn: 0.1831 0.5000 0.4919 x4
C: 0.0354 0.5000 0.2568 x4
C: 0.2207 0.0000 0.7038 x4

Output
- E_tot (eV/atom) = -8.646
- total magnetic moment (μB per atom) = 0.342
- DFT formation energy (eV/atom) = -0.0482
- DOS(E_F) (states/eV/cell) = 17.5

=====

(7)
Entry from Alexandria: Tm7In2Ge2 after structural relaxation (PBE).

Cell: 8.2333 10.7431 7.0153 Å, 90.00 90.00 90.00°
Space group Cmmm (No. 65)
Asymmetric unit:
Tm: 0.0000 0.0000 0.0000 x2
Tm: 0.0000 0.5000 0.2542 x4
Tm: 0.2500 0.2500 0.2657 x8
In: 0.1765 0.0000 0.5000 x4
Ge: 0.0000 0.2809 0.0000 x4

Output
- E_tot (eV/atom) = -4.496
- total magnetic moment (μB per atom) = 0.001
- DFT formation energy (eV/atom) = -0.3132
- DOS(E_F) (states/eV/cell) = 22.5

=====

(8)
Entry from Alexandria: TlSb4As after structural relaxation (PBE).

Cell: 8.8610 8.8610 8.8610 Å, 90.00 90.00 90.00°
Space group F-43m (No. 216)
Asymmetric unit:
Tl: 0.0000 0.0000 0.0000 x4
Sb: 0.1238 0.1238 0.3762 x16
As: 0.2500 0.2500 0.7500 x4

Output
- E_tot (eV/atom) = -3.545
- total magnetic moment (μB per atom) = 0.000
- formation energy without anion corrections (eV/atom) = 0.37
- DOS(E_F) (states/eV/cell) = 13.4

=====

(9)
Entry from Alexandria: ZnCuH2 after structural relaxation (PBE).

Cell: 4.1860 4.1860 8.3919 Å, 90.00 90.00 90.00°
Space group I-42d (No. 122)
Asymmetric unit:
Zn: 0.0000 0.0000 0.0000 x4
Cu: 0.0000 0.0000 0.5000 x4
H: 0.2114 0.2500 0.6250 x8

Output
- E_tot (eV/atom) = -2.705
- total magnetic moment (μB per atom) = 0.000
- DOS(E_F) (states/eV/cell) = 4.2
- polymorph energy (0 for the lowest one) (kJ/mol of atoms) = 0.00

=====

(10)
Entry from Alexandria: Lu2InHg after structural relaxation (PBE).

Cell: 7.3588 7.3588 7.3588 Å, 90.00 90.00 90.00°
Space group Fm-3m (No. 225)
Asymmetric unit:
Lu: 0.2500 0.2500 0.2500 x8
In: 0.0000 0.0000 0.0000 x4
Hg: 0.0000 0.0000 0.5000 x4

Output
- E_tot (eV/atom) = -3.436
- total magnetic moment (μB per atom) = 0.000
- DFT formation energy (eV/atom) = -0.4159
- DOS(E_F) (states/eV/cell) = 13.3
- polymorph energy (0 for the lowest one) (kJ/mol of atoms) = 1.45

=====

> What is the DOS(E_F) in the fifth record?

2.8 states/eV/cell